VASP calculation (PBE-GGA) on crystalline Li5Sm3H12 at its relaxed geometry.

The structure in POSCAR format:
```
Li5Sm3H12
1.0
-6.056 6.056 6.056
6.056 -6.056 6.056
6.056 6.056 -6.056
Li Sm H
20 12 48
direct
0.000 0.000 0.000 Li
0.000 0.000 0.500 Li
0.000 0.500 0.000 Li
0.000 0.500 0.500 Li
0.125 0.750 0.875 Li
0.125 0.875 0.250 Li
0.250 0.125 0.875 Li
0.250 0.625 0.375 Li
0.375 0.250 0.625 Li
0.375 0.625 0.750 Li
0.500 0.000 0.000 Li
0.500 0.000 0.500 Li
0.500 0.500 0.000 Li
0.500 0.500 0.500 Li
0.625 0.375 0.250 Li
0.625 0.750 0.375 Li
0.750 0.375 0.625 Li
0.750 0.875 0.125 Li
0.875 0.125 0.750 Li
0.875 0.250 0.125 Li
0.125 0.250 0.375 Sm
0.125 0.375 0.750 Sm
0.250 0.375 0.125 Sm
0.250 0.875 0.625 Sm
0.375 0.125 0.250 Sm
0.375 0.750 0.125 Sm
0.625 0.250 0.875 Sm
0.625 0.875 0.750 Sm
0.750 0.125 0.375 Sm
0.750 0.625 0.875 Sm
0.875 0.625 0.250 Sm
0.875 0.750 0.625 Sm
0.035 0.215 0.127 H
0.035 0.320 0.907 H
0.088 0.715 0.680 H
0.088 0.873 0.407 H
0.093 0.627 0.412 H
0.093 0.965 0.680 H
0.127 0.035 0.215 H
0.127 0.593 0.912 H
0.180 0.215 0.588 H
0.180 0.465 0.593 H
0.215 0.127 0.035 H
0.215 0.588 0.180 H
0.285 0.320 0.912 H
0.285 0.465 0.373 H
0.320 0.907 0.035 H
0.320 0.912 0.285 H
0.373 0.285 0.465 H
0.373 0.588 0.907 H
0.407 0.088 0.873 H
0.407 0.820 0.535 H
0.412 0.093 0.627 H
0.412 0.820 0.785 H
0.465 0.373 0.285 H
0.465 0.593 0.180 H
0.535 0.407 0.820 H
0.535 0.627 0.715 H
0.588 0.180 0.215 H
0.588 0.907 0.373 H
0.593 0.180 0.465 H
0.593 0.912 0.127 H
0.627 0.412 0.093 H
0.627 0.715 0.535 H
0.680 0.088 0.715 H
0.680 0.093 0.965 H
0.715 0.535 0.627 H
0.715 0.680 0.088 H
0.785 0.412 0.820 H
0.785 0.873 0.965 H
0.820 0.535 0.407 H
0.820 0.785 0.412 H
0.873 0.407 0.088 H
0.873 0.965 0.785 H
0.907 0.035 0.320 H
0.907 0.373 0.588 H
0.912 0.127 0.593 H
0.912 0.285 0.320 H
0.965 0.680 0.093 H
0.965 0.785 0.873 H
```

Properties
space-group type: Ia-3d
volume: 11.11 A^3/atom
VASP energy: -3.639 eV/atom